VASP calculation (PBE) on crystalline RuPt3S at its relaxed geometry.

Output
The formation energy without anion corrections is 1602.1 meV/atom. As for the total energy: -4.703 eV/atom. As for the energy relative to the lowest polymorph listed for this composition: 0.866 eV per atom. The density of states at the Fermi level comes out at 1.4617 states/eV per atom.

Cell lengths 4.780, 4.780, 4.780 Å; angles 90.00, 90.00, 90.00 degrees
Space group Pm-3m (No. 221)
Asymmetric unit:
Ru: 0.000 0.000 0.000 x1
Pt: 0.000 0.000 0.500 x3
S: 0.500 0.500 0.500 x1